(one)
A relaxed MnCrP2S crystal, computed with PBE.

Cell lengths 4.3069, 4.3069, 5.0760 Å; angles 90.00, 90.00, 90.00 degrees
With the nearest neighbours (Å) after each atom.
Space group P4/mmm (No. 123)
Asymmetric unit:
1 Mn 0.0000 0.0000 0.0000 [1 per cell]  4 S 3.05, 8 P 3.33
2 Cr 0.5000 0.5000 0.5000 [1 per cell]  4 P 2.15
3 P 0.0000 0.5000 0.5000 [2 per cell]  2 Cr 2.15
4 S 0.5000 0.5000 0.0000 [1 per cell]  2 Cr 2.54

(two)
A relaxed MnCrP2S crystal, computed with PBE.

Cell lengths 4.1742, 4.1742, 5.1732 Å; angles 90.00, 90.00, 90.00 degrees
With the nearest neighbours (Å) after each atom.
Space group P4/mmm (No. 123)
Asymmetric unit:
1 Mn 0.0000 0.0000 0.0000 [1 per cell]  4 P 2.09
2 Cr 0.5000 0.5000 0.5000 [1 per cell]  4 S 2.95
3 P 0.0000 0.5000 0.0000 [2 per cell]  2 Mn 2.09
4 S 0.0000 0.0000 0.5000 [1 per cell]  2 Mn 2.59

Stability check: which of them is least stable? (two).